No. 1
! Mg2ZnInRe, relaxed, DFT PBE-GGA; values from VASP
! Magnetization in μB/f.u.: 4.10
! Energy in eV per atom: -2.48
! Energy of formation from the pure elements in eV per atom: 1.449
! Calculated volume in Å³/cell: 134.31
! Crystal system: tetragonal
&SYSTEM
  ibrav = 0, nat = 5, ntyp = 4
/
ATOMIC_SPECIES
Re 186.21 Re.upf
Zn 65.41 Zn.upf
Mg 24.30 Mg.upf
In 114.82 In.upf
ATOMIC_POSITIONS angstrom
Re 2.6320 2.4235 2.6320
Zn 0.0000 2.4235 0.0000
Mg 0.0000 0.0000 2.6320
Mg 2.6320 0.0000 0.0000
In 0.0000 0.0000 0.0000
CELL_PARAMETERS angstrom
5.2639 0.0000 0.0000
0.0000 4.8470 0.0000
0.0000 0.0000 5.2639


No. 2
! MgInRh2, relaxed, DFT PBE-GGA; values from VASP
! Magnetization in μB/f.u.: 0.71
! Energy in eV per atom: -4.75
! Energy of formation from the pure elements in eV per atom: 0.012
! Calculated volume in Å³/cell: 69.66
! Crystal system: trigonal
&SYSTEM
  ibrav = 0, nat = 4, ntyp = 3
/
ATOMIC_SPECIES
In 114.82 In.upf
Mg 24.30 Mg.upf
Rh 102.91 Rh.upf
ATOMIC_POSITIONS angstrom
In 13.4558 2.2068 1.2970
Mg 19.6721 3.2264 1.8962
Rh 26.5125 4.3482 2.5555
Rh 6.7376 1.1050 0.6494
CELL_PARAMETERS angstrom
9.1728 -0.0096 -0.0056
8.6892 2.9391 -0.0056
8.6892 1.4251 2.5705


No. 3
! Mg6InRh, relaxed, DFT PBE-GGA; values from VASP
! Magnetization in μB/f.u.: 0.00
! Energy in eV per atom: -2.62
! Energy of formation from the pure elements in eV per atom: -0.165
! Calculated volume in Å³/cell: 158.13
! ΔE to the lowest computed polymorph in meV per atom: 0
! Crystal system: trigonal
&SYSTEM
  ibrav = 0, nat = 8, ntyp = 3
/
ATOMIC_SPECIES
Mg 24.30 Mg.upf
In 114.82 In.upf
Rh 102.91 Rh.upf
ATOMIC_POSITIONS angstrom
Mg 4.2069 2.5807 2.6773
Mg 0.7448 0.4569 5.7774
Mg 5.8826 3.6087 5.4133
Mg 2.4204 1.4848 8.5134
Mg 1.6674 1.0228 2.7633
Mg 4.9600 3.0427 8.4274
In 3.3137 2.0328 5.5953
Rh 0.0000 0.0000 0.0000
CELL_PARAMETERS angstrom
4.5958 0.0000 1.4068
2.0826 4.0969 1.4068
-0.0510 -0.0313 8.3771


No. 4
! MgInRh2, relaxed, DFT PBE-GGA; values from VASP
! Magnetization in μB/f.u.: 0.00
! Energy in eV per atom: -5.02
! Energy of formation from the pure elements in eV per atom: -0.263
! Calculated volume in Å³/cell: 66.32
! Crystal system: monoclinic
&SYSTEM
  ibrav = 0, nat = 4, ntyp = 3
/
ATOMIC_SPECIES
In 114.82 In.upf
Mg 24.30 Mg.upf
Rh 102.91 Rh.upf
ATOMIC_POSITIONS angstrom
In 6.9136 2.3950 3.7771
Mg 2.3045 0.7983 1.2590
Rh 8.2383 2.8539 0.0347
Rh 4.6004 1.5936 2.4695
CELL_PARAMETERS angstrom
4.6082 0.0011 -0.0069
3.6214 2.8497 -0.0069
0.9886 0.3425 5.0499